[1]
LiSn2Pb3Se6 after structural relaxation, computed with GGA-PBE.

The structure in CIF format:
```
data_LiSn2Pb3Se6
_cell_length_a 18.556
_cell_length_b 4.240
_cell_length_c 8.532
_cell_angle_alpha 90.00
_cell_angle_beta 102.98
_cell_angle_gamma 90.00
_symmetry_space_group_name_H-M 'C 1 2/m 1'
_symmetry_Int_Tables_number 12
loop_
_symmetry_equiv_pos_as_xyz
'x,y,z'
'-x,-y,-z'
'-x,y,-z'
'x,-y,z'
'x+1/2,y+1/2,z'
'-x+1/2,-y+1/2,-z'
'-x+1/2,y+1/2,-z'
'x+1/2,-y+1/2,z'
loop_
_atom_site_label
_atom_site_type_symbol
_atom_site_fract_x
_atom_site_fract_y
_atom_site_fract_z
_atom_site_occupancy
Li1 Li 0.000 0.000 0.000 1
Sn1 Sn 0.159 0.500 0.325 1
Pb1 Pb 0.000 0.000 0.500 1
Pb2 Pb 0.164 0.500 0.833 1
Se1 Se 0.004 0.500 0.236 1
Se2 Se 0.163 0.000 0.091 1
Se3 Se 0.170 0.000 0.578 1
```

Output
* total magnetization: 0.000 μB/cell
* formation energy (no corrections): -0.5656 eV per atom



[2]
LiTa2PbSe after structural relaxation, computed with GGA-PBE.

The structure in CIF format:
```
data_LiTa2PbSe
_cell_length_a 5.352
_cell_length_b 5.352
_cell_length_c 5.694
_cell_angle_alpha 90.00
_cell_angle_beta 90.00
_cell_angle_gamma 90.00
_symmetry_space_group_name_H-M 'P 4/m m m'
_symmetry_Int_Tables_number 123
_symmetry_space_group_name_Hall '-P 4 2'
loop_
_atom_site_label
_atom_site_type_symbol
_atom_site_fract_x
_atom_site_fract_y
_atom_site_fract_z
_atom_site_occupancy
Li1 Li 0.000 0.000 0.000 1
Ta1 Ta 0.000 0.500 0.500 1
Pb1 Pb 0.500 0.500 0.500 1
Se1 Se 0.500 0.500 0.000 1
```

Output
* total magnetization: 4.561 μB/cell
* formation energy (no corrections): 1.9355 eV per atom



[3]
Li2TaPbSe after structural relaxation, computed with GGA-PBE.

The structure in CIF format:
```
data_Li2TaPbSe
_cell_length_a 5.240
_cell_length_b 5.240
_cell_length_c 4.843
_cell_angle_alpha 90.00
_cell_angle_beta 90.00
_cell_angle_gamma 90.00
_symmetry_space_group_name_H-M 'P 4/m m m'
_symmetry_Int_Tables_number 123
_symmetry_space_group_name_Hall '-P 4 2'
loop_
_atom_site_label
_atom_site_type_symbol
_atom_site_fract_x
_atom_site_fract_y
_atom_site_fract_z
_atom_site_occupancy
Li1 Li 0.000 0.500 0.000 1
Ta1 Ta 0.000 0.000 0.000 1
Pb1 Pb 0.500 0.500 0.500 1
Se1 Se 0.000 0.000 0.500 1
```

Output
* total magnetization: 2.038 μB/cell
* formation energy (no corrections): 0.5635 eV per atom



[4]
LiTbPb2Se4 after structural relaxation, computed with GGA-PBE.

The structure in CIF format:
```
data_LiTbPb2Se4
_cell_length_a 7.231
_cell_length_b 4.227
_cell_length_c 7.407
_cell_angle_alpha 90.00
_cell_angle_beta 108.67
_cell_angle_gamma 90.00
_symmetry_space_group_name_H-M 'P 1 2/m 1'
_symmetry_Int_Tables_number 10
loop_
_symmetry_equiv_pos_as_xyz
'x,y,z'
'-x,-y,-z'
'-x,y,-z'
'x,-y,z'
loop_
_atom_site_label
_atom_site_type_symbol
_atom_site_fract_x
_atom_site_fract_y
_atom_site_fract_z
_atom_site_occupancy
Li1 Li 0.000 0.000 0.000 1
Tb1 Tb 0.500 0.500 0.000 1
Pb1 Pb 0.000 0.500 0.500 1
Pb2 Pb 0.500 0.000 0.500 1
Se1 Se 0.244 0.500 0.227 1
Se2 Se 0.256 0.000 0.775 1
```

Output
* total magnetization: 0.000 μB/cell
* formation energy (no corrections): -1.0822 eV per atom



[5]
LiTbPbSe3 after structural relaxation, computed with GGA-PBE.

The structure in CIF format:
```
data_LiTbPbSe3
_cell_length_a 8.636
_cell_length_b 4.153
_cell_length_c 9.004
_cell_angle_alpha 90.00
_cell_angle_beta 102.60
_cell_angle_gamma 90.00
_symmetry_space_group_name_H-M 'P 1 21/m 1'
_symmetry_Int_Tables_number 11
loop_
_symmetry_equiv_pos_as_xyz
'x,y,z'
'-x,-y,-z'
'-x,y+1/2,-z'
'x,-y+1/2,z'
loop_
_atom_site_label
_atom_site_type_symbol
_atom_site_fract_x
_atom_site_fract_y
_atom_site_fract_z
_atom_site_occupancy
Li1 Li 0.084 0.250 0.085 1
Tb1 Tb 0.331 0.750 0.333 1
Pb1 Pb 0.185 0.250 0.735 1
Se1 Se 0.110 0.250 0.371 1
Se2 Se 0.218 0.750 0.010 1
Se3 Se 0.434 0.750 0.665 1
```

Output
* total magnetization: 0.000 μB/cell
* formation energy (no corrections): -1.2478 eV per atom



[6]
LiTb2PbSe4 after structural relaxation, computed with GGA-PBE.

The structure in CIF format:
```
data_LiTb2PbSe4
_cell_length_a 8.382
_cell_length_b 8.383
_cell_length_c 11.782
_cell_angle_alpha 90.00
_cell_angle_beta 90.00
_cell_angle_gamma 90.00
_symmetry_space_group_name_H-M 'I m m a'
_symmetry_Int_Tables_number 74
_symmetry_space_group_name_Hall '-I 2b 2'
loop_
_atom_site_label
_atom_site_type_symbol
_atom_site_fract_x
_atom_site_fract_y
_atom_site_fract_z
_atom_site_occupancy
Li1 Li 0.250 0.250 0.250 1
Tb1 Tb 0.000 0.000 0.000 1
Tb2 Tb 0.250 0.250 0.750 1
Pb1 Pb 0.000 0.000 0.500 1
Se1 Se 0.000 0.003 0.757 1
Se2 Se 0.237 0.250 0.002 1
```

Output
* total magnetization: 0.000 μB/cell
* formation energy (no corrections): -1.3724 eV per atom



Copy entry 6 word for word.
LiTb2PbSe4 after structural relaxation, computed with GGA-PBE.

The structure in CIF format:
```
data_LiTb2PbSe4
_cell_length_a 8.382
_cell_length_b 8.383
_cell_length_c 11.782
_cell_angle_alpha 90.00
_cell_angle_beta 90.00
_cell_angle_gamma 90.00
_symmetry_space_group_name_H-M 'I m m a'
_symmetry_Int_Tables_number 74
_symmetry_space_group_name_Hall '-I 2b 2'
loop_
_atom_site_label
_atom_site_type_symbol
_atom_site_fract_x
_atom_site_fract_y
_atom_site_fract_z
_atom_site_occupancy
Li1 Li 0.250 0.250 0.250 1
Tb1 Tb 0.000 0.000 0.000 1
Tb2 Tb 0.250 0.250 0.750 1
Pb1 Pb 0.000 0.000 0.500 1
Se1 Se 0.000 0.003 0.757 1
Se2 Se 0.237 0.250 0.002 1
```

Output
* total magnetization: 0.000 μB/cell
* formation energy (no corrections): -1.3724 eV per atom



The highest total magnetization belongs to which entry? LiTa2PbSe



What is the formula in the fourth record? LiTbPb2Se4